This record from Alexandria describes crystalline Tb5Y2Tm4 at its relaxed geometry. The functional is PBE.

```
11
Lattice="5.4871 -3.6362 0.0000 5.4871 3.6362 0.0000 -2.6430 0.0000 8.7585" Properties=species:S:1:pos:R:3 pbc="T T T"
Tb 0.0000 0.0000 0.0000
Tb 2.8035 1.6003 6.3708
Tb 5.5278 1.6003 2.3877
Tb 2.8035 -1.6003 6.3708
Tb 5.5278 -1.6003 2.3877
Y -0.0456 0.0000 5.4447
Y 8.3768 0.0000 3.3137
Tm 3.4231 0.0000 0.0327
Tm 2.6721 0.0000 3.3486
Tm 5.6592 0.0000 5.4098
Tm 4.9082 0.0000 8.7257
```

Output
As for the distance to the lowest polymorph of the same formula: 0 meV per atom. Its crystal system is monoclinic.


This record from Alexandria describes crystalline Tb5Y2Tm2 at its relaxed geometry. The functional is PBE.

```
18
Lattice="-7.4138 5.8442 3.3513 7.4138 -5.8442 3.3513 7.4138 5.8442 -3.3513" Properties=species:S:1:pos:R:3 pbc="T T T"
Tb 0.7606 2.9008 0.0000
Tb 6.6532 2.9008 0.0000
Tb -2.1242 3.0871 1.1835
Tb 9.5379 3.0871 1.1835
Tb 3.7069 2.9633 1.2873
Tb 0.7606 2.9435 3.3513
Tb 6.6532 2.9435 3.3513
Tb 2.1242 8.6013 1.1835
Tb -2.1242 2.7571 4.5348
Tb 3.7069 2.8810 4.6386
Y 5.5362 5.8207 -1.0311
Y 9.2913 -0.0235 2.3202
Y 1.8775 0.0235 2.3202
Y 5.5362 0.0235 2.3202
Tm 0.0000 5.8442 2.0628
Tm 0.0000 0.0000 5.4141
Tm -3.7069 5.6998 2.6728
Tm 3.7069 5.9887 2.6728
```

Output
As for the distance to the lowest polymorph of the same formula: 111 meV per atom. Its crystal system is orthorhombic.


Uncorrected energy, record by record: -0.3500, -0.3510 Ry/atom
DFT formation energy, record by record: 1.6, 2.0 eV per formula unit